First-principles (GGA-PBE) data for a geometry-optimized BaPrAlZn structure, as listed in Alexandria.

Results
SG = F-43m, No. 216
volume = 121.16 Å³ per cell
E_form = -10 kJ per mole of atoms

Cell: 5.5543 5.5543 5.5543 Å, 60.00 60.00 60.00°
With the nearest neighbours (Å) after each atom.
Sites, in units of the cell vectors:
Pr (0.0000, 0.0000, 0.0000)  4 Al 3.40, 4 Zn 3.40
Zn (0.2500, 0.2500, 0.2500)  4 Pr 3.40, 4 Ba 3.40
Ba (0.5000, 0.5000, 0.5000)  4 Zn 3.40, 4 Al 3.40
Al (0.7500, 0.7500, 0.7500)  4 Ba 3.40, 4 Pr 3.40

First-principles (GGA-PBE) data for a geometry-optimized AlVSi2Ag structure, as listed in Alexandria.

Results
SG = P4/mmm, No. 123
volume = 97.59 Å³ per cell
uncorrected formation energy = 1.132 eV per atom

Cell: 4.6278 4.5566 4.6278 Å, 90.00 90.00 90.00°
With the nearest neighbours (Å) after each atom.
Sites, in units of the cell vectors:
Ag (0.5000, 0.5000, 0.5000)  8 Si 3.25, 4 V 3.27
Si (0.0000, 0.0000, 0.5000)  2 Al 2.31
Si (0.5000, 0.0000, 0.0000)  2 Al 2.31
V (0.0000, 0.5000, 0.0000)  2 Al 2.28
Al (0.0000, 0.0000, 0.0000)  2 V 2.28, 4 Si 2.31

First-principles (GGA-PBE) data for a geometry-optimized GaAsW2 structure, as listed in Alexandria.

Results
SG = Fm-3m, No. 225
excess energy over the best structure of this formula in the dataset = 0.0000 eV per atom
volume = 61.69 Å³ per cell
E_form = 40 kJ per mole of atoms

Cell: 4.4352 4.4352 4.4352 Å, 60.00 60.00 60.00°
With the nearest neighbours (Å) after each atom.
Sites, in units of the cell vectors:
As (0.5000, 0.5000, 0.5000)  8 W 2.72
Ga (0.0000, 0.0000, 0.0000)  8 W 2.72
W (0.7500, 0.7500, 0.7500)  4 Ga 2.72, 4 As 2.72
W (0.2500, 0.2500, 0.2500)  4 As 2.72, 4 Ga 2.72

First-principles (GGA-PBE) data for a geometry-optimized PmPrNd2 structure, as listed in Alexandria.

Results
SG = Fm-3m, No. 225
excess energy over the best structure of this formula in the dataset = 0.1211 eV per atom
volume = 141.29 Å³ per cell
E_form = 13 kJ per mole of atoms

Cell: 5.8462 5.8462 5.8462 Å, 60.00 60.00 60.00°
With the nearest neighbours (Å) after each atom.
Sites, in units of the cell vectors:
Pr (0.5000, 0.5000, 0.5000)  8 Nd 3.58
Nd (0.7500, 0.7500, 0.7500)  4 Pr 3.58, 4 Pm 3.58
Nd (0.2500, 0.2500, 0.2500)  4 Pr 3.58, 4 Pm 3.58
Pm (0.0000, 0.0000, 0.0000)  8 Nd 3.58

First-principles (GGA-PBE) data for a geometry-optimized InNiPt2 structure, as listed in Alexandria.

Results
SG = Cmmm, No. 65
volume = 62.88 Å³ per cell
E_form = -23 kJ per mole of atoms

Cell: 4.6679 4.6679 2.9868 Å, 90.01 90.01 104.93°
With the nearest neighbours (Å) after each atom.
Sites, in units of the cell vectors:
Pt (0.5000, 0.5000, 0.0000)  4 In 2.77, 4 Ni 2.77, 4 Pt 2.84-2.99
Pt (0.0000, 0.0000, 0.0000)  4 Ni 2.77, 4 In 2.77, 4 Pt 2.84-2.99
In (0.5000, 0.0000, 0.5000)  8 Pt 2.77, 2 Ni 2.84, 2 In 2.99
Ni (0.0000, 0.5000, 0.5000)  8 Pt 2.77, 2 In 2.84, 2 Ni 2.99

First-principles (GGA-PBE) data for a geometry-optimized Ce3Zn2In3 structure, as listed in Alexandria.

Results
SG = Cmcm, No. 63
volume = 410.83 Å³ per cell
E_form = -30 kJ per mole of atoms

Cell: 4.7205 6.0514 15.6191 Å, 90.00 90.00 112.96°
With the nearest neighbours (Å) after each atom.
Sites, in units of the cell vectors:
Zn (0.7928, 0.5856, 0.6027)  4 In 2.74-2.95
Zn (0.7928, 0.5856, 0.8973)  4 In 2.74-2.95
Zn (0.2072, 0.4144, 0.3973)  4 In 2.74-2.95
Zn (0.2072, 0.4144, 0.1027)  4 In 2.74-2.95
Ce (0.6415, 0.2830, 0.2500)  5 In 3.25-3.31, 4 Zn 3.38
Ce (0.0918, 0.1836, 0.8910)  4 Zn 3.26-3.55, 7 In 3.29-3.50
Ce (0.9082, 0.8164, 0.3910)  4 Zn 3.26-3.55, 7 In 3.29-3.50
Ce (0.9082, 0.8164, 0.1090)  4 Zn 3.26-3.55, 7 In 3.29-3.50
Ce (0.0918, 0.1836, 0.6090)  4 Zn 3.26-3.55, 7 In 3.29-3.50
Ce (0.3585, 0.7170, 0.7500)  5 In 3.25-3.31, 4 Zn 3.38
In (0.3814, 0.7628, 0.5397)  3 Zn 2.74-2.95, 1 In 2.92
In (0.3814, 0.7628, 0.9603)  3 Zn 2.74-2.95, 1 In 2.92
In (0.3497, 0.6993, 0.2500)  2 Zn 2.79
In (0.6503, 0.3007, 0.7500)  2 Zn 2.79
In (0.6186, 0.2372, 0.0397)  3 Zn 2.74-2.95, 1 In 2.92
In (0.6186, 0.2372, 0.4603)  3 Zn 2.74-2.95, 1 In 2.92

First-principles (GGA-PBE) data for a geometry-optimized Nd6Dy5Th2 structure, as listed in Alexandria.

Results
SG = Pbam, No. 55
volume = 885.40 Å³ per cell
E_form = 12 kJ per mole of atoms

Cell: 3.6282 11.6569 20.9344 Å, 90.00 90.00 90.00°
With the nearest neighbours (Å) after each atom.
Sites, in units of the cell vectors:
Dy (0.5000, 0.0000, 0.5000)  6 Nd 3.36-3.62, 2 Dy 3.63
Dy (0.5000, 0.8156, 0.0813)  6 Nd 3.62-3.72, 3 Dy 3.63-3.98, 2 Th 3.64
Dy (0.5000, 0.4312, 0.7088)  5 Nd 3.40-3.57, 4 Th 3.53-3.59, 2 Dy 3.63
Dy (0.5000, 0.3156, 0.4187)  6 Nd 3.62-3.72, 3 Dy 3.63-3.98, 2 Th 3.64
Dy (0.5000, 0.6844, 0.5813)  6 Nd 3.62-3.72, 3 Dy 3.63-3.98, 2 Th 3.64
Dy (0.5000, 0.0688, 0.2088)  5 Nd 3.40-3.57, 4 Th 3.53-3.59, 2 Dy 3.63
Dy (0.5000, 0.9312, 0.7912)  5 Nd 3.40-3.57, 4 Th 3.53-3.59, 2 Dy 3.63
Dy (0.5000, 0.1844, 0.9187)  6 Nd 3.62-3.72, 3 Dy 3.63-3.98, 2 Th 3.64
Dy (0.5000, 0.5688, 0.2912)  5 Nd 3.40-3.57, 4 Th 3.53-3.59, 2 Dy 3.63
Dy (0.5000, 0.5000, 0.0000)  6 Nd 3.36-3.62, 2 Dy 3.63
Nd (0.5000, 0.1816, 0.6243)  2 Dy 3.36-3.40, 6 Nd 3.47-3.63, 2 Th 3.51
Nd (0.5000, 0.8184, 0.3757)  2 Dy 3.36-3.40, 6 Nd 3.47-3.63, 2 Th 3.51
Nd (0.0000, 0.5820, 0.4369)  5 Nd 3.26-3.63, 4 Dy 3.55-3.62
Nd (0.0000, 0.9304, 0.6445)  1 Th 3.38, 4 Nd 3.47-3.63, 6 Dy 3.57-3.64
Nd (0.5000, 0.6816, 0.8757)  2 Dy 3.36-3.40, 6 Nd 3.47-3.63, 2 Th 3.51
Nd (0.5000, 0.3184, 0.1243)  2 Dy 3.36-3.40, 6 Nd 3.47-3.63, 2 Th 3.51
Nd (0.0000, 0.0820, 0.0631)  5 Nd 3.26-3.63, 4 Dy 3.55-3.62
Nd (0.0000, 0.4304, 0.8555)  1 Th 3.38, 4 Nd 3.47-3.63, 6 Dy 3.57-3.64
Nd (0.0000, 0.0696, 0.3555)  1 Th 3.38, 4 Nd 3.47-3.63, 6 Dy 3.57-3.64
Nd (0.0000, 0.4180, 0.5631)  5 Nd 3.26-3.63, 4 Dy 3.55-3.62
Nd (0.0000, 0.5696, 0.1445)  1 Th 3.38, 4 Nd 3.47-3.63, 6 Dy 3.57-3.64
Nd (0.0000, 0.9180, 0.9369)  5 Nd 3.26-3.63, 4 Dy 3.55-3.62
Th (0.0000, 0.8129, 0.2322)  3 Nd 3.38-3.51, 6 Dy 3.53-3.64, 2 Th 3.63
Th (0.0000, 0.1871, 0.7678)  3 Nd 3.38-3.51, 6 Dy 3.53-3.64, 2 Th 3.63
Th (0.0000, 0.6871, 0.7322)  3 Nd 3.38-3.51, 6 Dy 3.53-3.64, 2 Th 3.63
Th (0.0000, 0.3129, 0.2678)  3 Nd 3.38-3.51, 6 Dy 3.53-3.64, 2 Th 3.63

First-principles (GGA-PBE) data for a geometry-optimized HfV2Sb structure, as listed in Alexandria.

Results
SG = Fm-3m, No. 225
excess energy over the best structure of this formula in the dataset = 0.0831 eV per atom
volume = 67.71 Å³ per cell
uncorrected formation energy = 0.015 eV per atom

Cell: 4.5750 4.5750 4.5750 Å, 60.00 60.00 60.00°
With the nearest neighbours (Å) after each atom.
Sites, in units of the cell vectors:
V (0.2500, 0.2500, 0.2500)  4 Sb 2.80, 4 Hf 2.80
V (0.7500, 0.7500, 0.7500)  4 Hf 2.80, 4 Sb 2.80
Sb (0.0000, 0.0000, 0.0000)  8 V 2.80
Hf (0.5000, 0.5000, 0.5000)  8 V 2.80

First-principles (GGA-PBE) data for a geometry-optimized MgAlPb structure, as listed in Alexandria.

Results
SG = P3m1, No. 156
volume = 72.87 Å³ per cell
E_form = 16 kJ per mole of atoms

Cell: 4.9870 4.9870 3.3832 Å, 90.00 90.00 120.00°
With the nearest neighbours (Å) after each atom.
Sites, in units of the cell vectors:
Mg (0.6667, 0.3333, 0.2897)  3 Al 3.04, 3 Pb 3.20, 2 Mg 3.38
Al (0.0000, 0.0000, 0.0049)  3 Mg 3.04, 3 Pb 3.05, 2 Al 3.38
Pb (0.3333, 0.6667, 0.7054)  3 Al 3.05, 3 Mg 3.20, 2 Pb 3.38

First-principles (GGA-PBE) data for a geometry-optimized TiReGeIr structure, as listed in Alexandria.

Results
SG = F-43m, No. 216
volume = 58.58 Å³ per cell
E_form = -39 kJ per mole of atoms

Cell: 4.3593 4.3593 4.3593 Å, 60.00 60.00 60.00°
With the nearest neighbours (Å) after each atom.
Sites, in units of the cell vectors:
Ir (0.5000, 0.5000, 0.5000)  4 Ge 2.67, 4 Ti 2.67
Ge (0.2500, 0.2500, 0.2500)  4 Ir 2.67, 4 Re 2.67
Re (0.0000, 0.0000, 0.0000)  4 Ti 2.67, 4 Ge 2.67
Ti (0.7500, 0.7500, 0.7500)  4 Re 2.67, 4 Ir 2.67

First-principles (GGA-PBE) data for a geometry-optimized GeBrN2O structure, as listed in Alexandria.

Results
SG = P4/mmm, No. 123
volume = 62.92 Å³ per cell
uncorrected formation energy = 1.811 eV per atom

Cell: 3.9768 3.9768 3.9782 Å, 90.00 90.00 90.00°
With the nearest neighbours (Å) after each atom.
Sites, in units of the cell vectors:
N (0.5000, 0.0000, 0.0000)  2 Br 1.99
N (0.0000, 0.5000, 0.0000)  2 Br 1.99
Br (0.0000, 0.0000, 0.0000)  4 N 1.99, 2 O 1.99
O (0.0000, 0.0000, 0.5000)  2 Br 1.99
Ge (0.5000, 0.5000, 0.5000)  4 O 2.81, 8 N 2.81

First-principles (GGA-PBE) data for a geometry-optimized BaLa2TiO6 structure, as listed in Alexandria.

Results
SG = P4mm, No. 99
volume = 185.74 Å³ per cell
uncorrected formation energy = -3.033 eV per atom

Cell: 5.9259 5.5986 5.5986 Å, 90.00 90.00 90.00°
With the nearest neighbours (Å) after each atom.
Sites, in units of the cell vectors:
O (0.7467, 0.2263, 0.2263)  1 Ti 1.94
O (0.7467, 0.7737, 0.7737)  1 Ti 1.94
O (0.3135, 0.0000, 0.0000)  1 Ti 1.81
O (0.7467, 0.7737, 0.2263)  1 Ti 1.94
O (0.0905, 0.5000, 0.5000)  1 Ba 2.50
O (0.7467, 0.2263, 0.7737)  1 Ti 1.94
Ti (0.6192, 0.0000, 0.0000)  5 O 1.81-1.94
La (0.9623, 0.5000, 0.0000)  4 O 2.36
La (0.9623, 0.0000, 0.5000)  4 O 2.36
Ba (0.5124, 0.5000, 0.5000)  5 O 2.50-2.57